A geometry-optimized CoAsRuO6 structure. Source: the Alexandria database, functional PBE with a Hubbard U.

Calculated values
**Fermi-level density of states**: 6.74 states/eV/cell
**Space-group type**: P-31c
**M_tot**: 5.80 μB per formula unit
**E**: -6.42 eV per atom
**V**: 195 Å³ per cell

a = 5.026 Å, b = 5.026 Å, c = 8.916 Å
α = 90.00°, β = 90.00°, γ = 120.00°
Each line ends with the local moment (μB).
Positions (direct):
O: 0.347 0.362 0.865  0.16
O: 0.362 0.015 0.135  0.16
O: 0.362 0.347 0.365  0.16
O: 0.638 0.985 0.865  0.16
O: 0.347 0.985 0.635  0.16
O: 0.985 0.347 0.135  0.16
O: 0.015 0.653 0.865  0.16
O: 0.015 0.362 0.635  0.16
O: 0.653 0.015 0.365  0.16
O: 0.638 0.653 0.635  0.16
O: 0.653 0.638 0.135  0.16
O: 0.985 0.638 0.365  0.16
Ru: 0.333 0.667 0.250  1.74
Ru: 0.667 0.333 0.750  1.74
Co: 0.000 0.000 0.500  2.79
Co: 0.000 0.000 0.000  2.79
As: 0.333 0.667 0.750  0.03
As: 0.667 0.333 0.250  0.03